Below is CaFeBr2 after structural relaxation, with properties calculated at the GGA-PBE level.

Properties
For the raw formation energy, the calculation gives -0.31 eV/atom. The value obtained for the relative energy among the computed polymorphs is 288.1 meV per atom.

Structure (CIF):
```
data_CaFeBr2
_space_group_name_H-M_alt 'I -4 m 2'
_space_group_IT_number 119
_space_group_name_Hall 'I -4 -2'
_cell_length_a 4.0427
_cell_length_b 4.0427
_cell_length_c 11.9912
_cell_angle_alpha 90.00
_cell_angle_beta 90.00
_cell_angle_gamma 90.00
loop_
_atom_site_label
_atom_site_type_symbol
_atom_site_fract_x
_atom_site_fract_y
_atom_site_fract_z
Ca1 Ca 0.0000 0.0000 0.0000
Fe1 Fe 0.0000 0.5000 0.7500
Br1 Br 0.0000 0.0000 0.5000
Br2 Br 0.0000 0.5000 0.2500
```